Material: Li2Ga8Rh3
Method: DFT, PBE
State: relaxed

## Properties
Energy of formation from the pure elements: -9.04 kcal/mol of atoms
E: -0.312 Ry per atom

Cell: 7.0649 7.0649 4.3440 Å, 90.00 90.00 105.01°
Closest atoms and distances in Å follow each position.
Sites, in units of the cell vectors:
1 Li 0.2390 0.7610 0.5000  8 Ga 2.48-2.66, 1 Rh 2.68
2 Li 0.7610 0.2390 0.5000  8 Ga 2.48-2.66, 1 Rh 2.68
3 Ga 0.6239 0.3761 0.0000  2 Rh 2.60, 2 Li 2.66, 2 Ga 2.74-2.78
4 Ga 0.3761 0.6239 0.0000  2 Rh 2.60, 2 Li 2.66, 2 Ga 2.74-2.78
5 Ga 0.1321 0.8679 0.0000  2 Li 2.48, 4 Rh 2.57-2.63, 1 Ga 2.74
6 Ga 0.8679 0.1321 0.0000  2 Li 2.48, 4 Rh 2.57-2.63, 1 Ga 2.74
7 Ga 0.6094 0.8596 0.5000  2 Li 2.53-2.62, 3 Rh 2.59-2.68, 2 Ga 2.80-2.81
8 Ga 0.1404 0.3906 0.5000  2 Li 2.53-2.62, 3 Rh 2.59-2.68, 2 Ga 2.80-2.81
9 Ga 0.8596 0.6094 0.5000  2 Li 2.53-2.62, 3 Rh 2.59-2.68, 2 Ga 2.80-2.81
10 Ga 0.3906 0.1404 0.5000  2 Li 2.53-2.62, 3 Rh 2.59-2.68, 2 Ga 2.80-2.81
11 Rh 0.0000 0.0000 0.5000  8 Ga 2.63-2.68, 2 Li 2.68
12 Rh 0.2445 0.2445 0.0000  8 Ga 2.57-2.60
13 Rh 0.7555 0.7555 0.0000  8 Ga 2.57-2.60


Material: ThCdRu
Method: DFT, PBE
State: relaxed

## Properties
Energy of formation from the pure elements: -9.78 kcal/mol of atoms
E: -0.463 Ry per atom

Cell: 3.9579 3.8204 9.3760 Å, 101.76 90.00 90.00°
Closest atoms and distances in Å follow each position.
Sites, in units of the cell vectors:
1 Th 0.2500 0.9119 0.8237  4 Ru 2.80
2 Th 0.7500 0.0881 0.1763  4 Ru 2.80
3 Cd 0.7500 0.2878 0.5755  1 Ru 2.81, 4 Cd 3.08
4 Cd 0.2500 0.7122 0.4245  1 Ru 2.81, 4 Cd 3.08
5 Ru 0.2500 0.5591 0.1182  4 Th 2.80, 1 Cd 2.81, 2 Ru 2.94
6 Ru 0.7500 0.4409 0.8818  4 Th 2.80, 1 Cd 2.81, 2 Ru 2.94